Record 1
# LaSm4Tm5, optimized geometry, DFT PBE
# Energy relative to the elements: 0.067 eV/atom
# Magnetization: 0.00 Bohr magnetons per cell
data_LaSm4Tm5
_symmetry_space_group_name_H-M 'P -1'
_symmetry_Int_Tables_number 2
_symmetry_space_group_name_Hall '-P 1'
_cell_length_a 3.557
_cell_length_b 6.732
_cell_length_c 14.192
_cell_angle_alpha 98.52
_cell_angle_beta 92.96
_cell_angle_gamma 103.87
loop_
_atom_site_label
_atom_site_fract_x
_atom_site_fract_y
_atom_site_fract_z
_atom_site_occupancy
La1 0.000 0.000 0.000 1
Sm1 0.123 0.809 0.221 1
Sm2 0.181 0.721 0.802 1
Tm1 0.203 0.880 0.581 1
Tm2 0.488 0.426 0.609 1
Tm3 0.500 0.500 0.000 1

---

Record 2
# AgHgRh2, optimized geometry, DFT PBE
# Energy relative to the elements: 0.271 eV/atom
# Magnetization: 0.00 Bohr magnetons per cell
data_AgHgRh2
_symmetry_space_group_name_H-M 'I m m 2'
_symmetry_Int_Tables_number 44
_symmetry_space_group_name_Hall 'I 2 -2'
_cell_length_a 2.923
_cell_length_b 4.805
_cell_length_c 9.648
_cell_angle_alpha 90.00
_cell_angle_beta 90.00
_cell_angle_gamma 90.00
loop_
_atom_site_label
_atom_site_fract_x
_atom_site_fract_y
_atom_site_fract_z
_atom_site_occupancy
Ag1 0.000 0.000 0.000 1
Hg1 0.000 0.500 0.767 1
Rh1 0.000 0.000 0.521 1
Rh2 0.000 0.500 0.243 1

---

Record 3
# LiSn2Pb6, optimized geometry, DFT PBE
# Energy relative to the elements: -0.005 eV/atom
# Magnetization: 0.00 Bohr magnetons per cell
data_LiSn2Pb6
_symmetry_space_group_name_H-M 'C 1 2/c 1'
_symmetry_Int_Tables_number 15
_symmetry_space_group_name_Hall '-C 2yc'
_cell_length_a 15.880
_cell_length_b 11.401
_cell_length_c 5.916
_cell_angle_alpha 90.00
_cell_angle_beta 98.56
_cell_angle_gamma 90.00
loop_
_atom_site_label
_atom_site_fract_x
_atom_site_fract_y
_atom_site_fract_z
_atom_site_occupancy
Li1 0.000 0.127 0.250 1
Sn1 0.164 0.376 0.074 1
Pb1 0.057 0.370 0.523 1
Pb2 0.104 0.119 0.813 1
Pb3 0.218 0.125 0.361 1